No. 1
DFT (meta-GGA SCAN) results for a PBEsol-optimized structure of CrBTeI2.

Results
Formation energy from raw total energies ... 0.94 eV/atom
Magnetization ... 3.10 μB per cell
N(E_F) ... 2.71 states/eV/f.u.

```
data_CrBTeI2
_chemical_formula_sum 'Cr1 B1 Te1 I2'
_space_group_name_H-M_alt 'P 1'
_space_group_IT_number 1
_space_group_name_Hall 'P 1'
_cell_length_a 5.1391
_cell_length_b 5.3749
_cell_length_c 5.3749
_cell_angle_alpha 90.00
_cell_angle_beta 90.00
_cell_angle_gamma 90.00
loop_
_atom_site_label
_atom_site_type_symbol
_atom_site_fract_x
_atom_site_fract_y
_atom_site_fract_z
_atom_site_occupancy
I1 I 0.0000 0.0000 0.5000 1
I2 I 0.0000 0.5000 0.0000 1
Te1 Te 0.5000 0.0000 0.0000 1
B1 B 0.5000 0.5000 0.5000 1
Cr1 Cr 0.0000 0.0000 0.0000 1
```

No. 2
DFT (meta-GGA SCAN) results for a PBEsol-optimized structure of Al5HO8.

Results
Raw total energy ... -9.7021 eV per atom
Magnetization ... 0.00 μB per cell
N(E_F) ... 0.00 states/eV/f.u.

```
data_Al5HO8
_chemical_formula_sum 'Al10 H2 O16'
_space_group_name_H-M_alt 'P 1'
_space_group_IT_number 1
_space_group_name_Hall 'P 1'
_cell_length_a 5.5934
_cell_length_b 5.5934
_cell_length_c 8.7561
_cell_angle_alpha 90.00
_cell_angle_beta 90.00
_cell_angle_gamma 120.00
loop_
_atom_site_label
_atom_site_type_symbol
_atom_site_fract_x
_atom_site_fract_y
_atom_site_fract_z
_atom_site_occupancy
O1 O 0.0000 0.0000 0.0143 1
O2 O 0.0000 0.0000 0.5143 1
O3 O 0.9702 0.4851 0.4989 1
O4 O 0.5149 0.4851 0.4989 1
O5 O 0.4851 0.9702 0.9989 1
O6 O 0.8342 0.6683 0.2376 1
O7 O 0.6683 0.8342 0.7376 1
O8 O 0.3317 0.1658 0.2376 1
O9 O 0.3333 0.6667 0.2460 1
O10 O 0.6667 0.3333 0.7460 1
O11 O 0.1658 0.3317 0.7376 1
O12 O 0.5149 0.0298 0.4989 1
O13 O 0.0298 0.5149 0.9989 1
O14 O 0.8342 0.1658 0.2376 1
O15 O 0.1658 0.8342 0.7376 1
O16 O 0.4851 0.5149 0.9989 1
Al1 Al 0.6667 0.3333 0.9537 1
Al2 Al 0.1657 0.3314 0.1342 1
Al3 Al 0.3333 0.6667 0.8416 1
Al4 Al 0.3314 0.1657 0.6342 1
Al5 Al 0.8343 0.6686 0.6342 1
Al6 Al 0.3333 0.6667 0.4537 1
Al7 Al 0.8343 0.1657 0.6342 1
Al8 Al 0.6686 0.8343 0.1342 1
Al9 Al 0.6667 0.3333 0.3416 1
Al10 Al 0.1657 0.8343 0.1342 1
H1 H 0.0000 0.0000 0.9003 1
H2 H 0.0000 0.0000 0.4003 1
```

No. 3
DFT (meta-GGA SCAN) results for a PBEsol-optimized structure of K2Mg2Mo3O12.

Results
Formation energy from raw total energies ... -2.43 eV/atom
Magnetization ... 0.00 μB per cell
N(E_F) ... 0.00 states/eV/f.u.

```
data_K2Mg2Mo3O12
_chemical_formula_sum 'K8 Mg8 Mo12 O48'
_space_group_name_H-M_alt 'P 1'
_space_group_IT_number 1
_space_group_name_Hall 'P 1'
_cell_length_a 10.7574
_cell_length_b 10.7574
_cell_length_c 10.7574
_cell_angle_alpha 90.00
_cell_angle_beta 90.00
_cell_angle_gamma 90.00
loop_
_atom_site_label
_atom_site_type_symbol
_atom_site_fract_x
_atom_site_fract_y
_atom_site_fract_z
_atom_site_occupancy
O1 O 0.4724 0.4603 0.2784 1
O2 O 0.5457 0.1749 0.9788 1
O3 O 0.4543 0.6749 0.5212 1
O4 O 0.1749 0.9788 0.5457 1
O5 O 0.0212 0.0457 0.3251 1
O6 O 0.0548 0.7956 0.2246 1
O7 O 0.0397 0.7216 0.9724 1
O8 O 0.8165 0.7476 0.1037 1
O9 O 0.7216 0.9724 0.0397 1
O10 O 0.2754 0.9452 0.2956 1
O11 O 0.9724 0.0397 0.7216 1
O12 O 0.2044 0.7246 0.4452 1
O13 O 0.4452 0.2044 0.7246 1
O14 O 0.1037 0.8165 0.7476 1
O15 O 0.4788 0.9543 0.8251 1
O16 O 0.2784 0.4724 0.4603 1
O17 O 0.4603 0.2784 0.4724 1
O18 O 0.9603 0.2216 0.5276 1
O19 O 0.6749 0.5212 0.4543 1
O20 O 0.7044 0.7754 0.5548 1
O21 O 0.7246 0.4452 0.2044 1
O22 O 0.0457 0.3251 0.0212 1
O23 O 0.6835 0.2524 0.6037 1
O24 O 0.5548 0.7044 0.7754 1
O25 O 0.3165 0.7524 0.8963 1
O26 O 0.7784 0.0276 0.5397 1
O27 O 0.2524 0.6037 0.6835 1
O28 O 0.5276 0.9603 0.2216 1
O29 O 0.3963 0.1835 0.2476 1
O30 O 0.9543 0.8251 0.4788 1
O31 O 0.7524 0.8963 0.3165 1
O32 O 0.7956 0.2246 0.0548 1
O33 O 0.1835 0.2476 0.3963 1
O34 O 0.6037 0.6835 0.2524 1
O35 O 0.9452 0.2956 0.2754 1
O36 O 0.8251 0.4788 0.9543 1
O37 O 0.5397 0.7784 0.0276 1
O38 O 0.7476 0.1037 0.8165 1
O39 O 0.3251 0.0212 0.0457 1
O40 O 0.9788 0.5457 0.1749 1
O41 O 0.5212 0.4543 0.6749 1
O42 O 0.0276 0.5397 0.7784 1
O43 O 0.2956 0.2754 0.9452 1
O44 O 0.7754 0.5548 0.7044 1
O45 O 0.2246 0.0548 0.7956 1
O46 O 0.8963 0.3165 0.7524 1
O47 O 0.2216 0.5276 0.9603 1
O48 O 0.2476 0.3963 0.1835 1
K1 K 0.0587 0.0587 0.0587 1
K2 K 0.3250 0.6750 0.1750 1
K3 K 0.9413 0.5587 0.4413 1
K4 K 0.8250 0.8250 0.8250 1
K5 K 0.5587 0.4413 0.9413 1
K6 K 0.6750 0.1750 0.3250 1
K7 K 0.4413 0.9413 0.5587 1
K8 K 0.1750 0.3250 0.6750 1
Mg1 Mg 0.8388 0.1612 0.6612 1
Mg2 Mg 0.1612 0.6612 0.8388 1
Mg3 Mg 0.8854 0.3854 0.1146 1
Mg4 Mg 0.6612 0.8388 0.1612 1
Mg5 Mg 0.3854 0.1146 0.8854 1
Mg6 Mg 0.1146 0.8854 0.3854 1
Mg7 Mg 0.3388 0.3388 0.3388 1
Mg8 Mg 0.6146 0.6146 0.6146 1
Mo1 Mo 0.3805 0.0285 0.2008 1
Mo2 Mo 0.4715 0.7992 0.8805 1
Mo3 Mo 0.2008 0.3805 0.0285 1
Mo4 Mo 0.7992 0.8805 0.4715 1
Mo5 Mo 0.7008 0.1195 0.9715 1
Mo6 Mo 0.8805 0.4715 0.7992 1
Mo7 Mo 0.9715 0.7008 0.1195 1
Mo8 Mo 0.0285 0.2008 0.3805 1
Mo9 Mo 0.5285 0.2992 0.6195 1
Mo10 Mo 0.1195 0.9715 0.7008 1
Mo11 Mo 0.2992 0.6195 0.5285 1
Mo12 Mo 0.6195 0.5285 0.2992 1
```

No. 4
DFT (meta-GGA SCAN) results for a PBEsol-optimized structure of CaOsS2.

Results
Formation energy from raw total energies ... -0.31 eV/atom
Magnetization ... 0.00 μB per cell
N(E_F) ... 3.00 states/eV/f.u.

```
data_CaOsS2
_chemical_formula_sum 'Ca1 Os1 S2'
_space_group_name_H-M_alt 'P 1'
_space_group_IT_number 1
_space_group_name_Hall 'P 1'
_cell_length_a 3.7020
_cell_length_b 3.7020
_cell_length_c 7.7801
_cell_angle_alpha 76.24
_cell_angle_beta 76.24
_cell_angle_gamma 60.00
loop_
_atom_site_label
_atom_site_type_symbol
_atom_site_fract_x
_atom_site_fract_y
_atom_site_fract_z
_atom_site_occupancy
S1 S 0.8807 0.8807 0.3580 1
S2 S 0.1193 0.1193 0.6420 1
Os1 Os 0.5000 0.5000 0.5000 1
Ca1 Ca 0.0000 0.0000 0.0000 1
```

No. 5
DFT (meta-GGA SCAN) results for a PBEsol-optimized structure of YTaCd2.

Results
ΔH_f (0 K) ... 226.9 meV/atom
Magnetization ... 0.00 μB per cell
N(E_F) ... 2.68 states/eV/f.u.

```
data_YTaCd2
_chemical_formula_sum 'Y1 Ta1 Cd2'
_space_group_name_H-M_alt 'P 1'
_space_group_IT_number 1
_space_group_name_Hall 'P 1'
_cell_length_a 3.0006
_cell_length_b 5.4006
_cell_length_c 5.4966
_cell_angle_alpha 98.66
_cell_angle_beta 105.84
_cell_angle_gamma 90.00
loop_
_atom_site_label
_atom_site_type_symbol
_atom_site_fract_x
_atom_site_fract_y
_atom_site_fract_z
_atom_site_occupancy
Cd1 Cd 0.2422 0.2331 0.4844 1
Cd2 Cd 0.7578 0.7669 0.5156 1
Y1 Y 0.0000 0.5000 0.0000 1
Ta1 Ta 0.5000 0.0000 0.0000 1
```

No. 6
DFT (meta-GGA SCAN) results for a PBEsol-optimized structure of MoIr2Rh.

Results
ΔH_f (0 K) ... -68.3 meV/atom
Energy above the lowest structure with this stoichiometry ... 0.2394 eV/atom
Magnetization ... 0.00 μB per cell
N(E_F) ... 3.43 states/eV/f.u.

```
data_MoIr2Rh
_chemical_formula_sum 'Mo1 Ir2 Rh1'
_space_group_name_H-M_alt 'P 1'
_space_group_IT_number 1
_space_group_name_Hall 'P 1'
_cell_length_a 2.7099
_cell_length_b 2.7099
_cell_length_c 9.0470
_cell_angle_alpha 81.39
_cell_angle_beta 81.39
_cell_angle_gamma 60.00
loop_
_atom_site_label
_atom_site_type_symbol
_atom_site_fract_x
_atom_site_fract_y
_atom_site_fract_z
_atom_site_occupancy
Ir1 Ir 0.9996 0.9996 0.0011 1
Ir2 Ir 0.7508 0.7508 0.7477 1
Rh1 Rh 0.2494 0.2494 0.2519 1
Mo1 Mo 0.5002 0.5002 0.4993 1
```